The following is a PBE-GGA calculation of a geometry-optimized Ho2InAu structure, from Alexandria.

Cell lengths 3.594, 3.594, 7.654 Å; angles 90.00, 90.00, 90.00 degrees
Fractional coordinates of all 4 atoms:
Ho: 0.000 0.000 0.231
Ho: 0.000 0.000 0.769
In: 0.500 0.500 0.500
Au: 0.500 0.500 0.000

Energy relative to the elements (eV/atom): -0.67
DFT total energy (eV/cell): -17.9
DOS(E_F) (states/eV/atom): 0.56